# 1
First-principles (PBE-GGA) data for crystalline LiVSe3 at its relaxed geometry, as listed in Alexandria.

The density of states at the Fermi level is 1.01 states/eV per atom. As for the crystal system: cubic. The energy relative to the lowest polymorph listed for this composition comes out at 288 meV per atom. The raw formation energy is -10.51 kcal/mol of atoms. The raw total energy comes out at -4.7528 eV per atom.

The space group is Fd-3m (No. 227, origin choice 2) and the conventional cell measures 12.4383, 12.4383 and 12.4383 Å, with angles of 90.00, 90.00 and 90.00 degrees. The asymmetric unit holds Li at (0.0000, 0.0000, 0.0000), V at (0.0000, 0.0000, 0.5000) and Se at (0.0987, 0.3750, 0.8750).

---

# 2
First-principles (PBE-GGA) data for crystalline AlNi2Rh at its relaxed geometry, as listed in Alexandria.

The density of states at the Fermi level is 1.28 states/eV per atom. The formation energy comes out at -0.40 eV/atom. As for the crystal system: tetragonal. The raw total energy comes out at -6.0596 eV per atom.

The space group is P4mm (No. 99) and the conventional cell measures 2.9816, 2.9816 and 5.5662 Å, with angles of 90.00, 90.00 and 90.00 degrees. The asymmetric unit holds Al at (0.0000, 0.0000, 0.0000), Ni at (0.0000, 0.0000, 0.4663), Ni at (0.5000, 0.5000, 0.2444) and Rh at (0.5000, 0.5000, 0.7381).

---

# 3
First-principles (PBE-GGA) data for crystalline LaTb5Sm12 at its relaxed geometry, as listed in Alexandria.

The density of states at the Fermi level is 1.28 states/eV per atom. The formation energy comes out at 0.02 eV/atom. As for the crystal system: monoclinic. The raw total energy comes out at -4.6893 eV per atom.

The space group is C2/m (No. 12) and the conventional cell measures 18.7907, 10.8639 and 6.2597 Å, with angles of 90.00, 109.26 and 90.00 degrees. The asymmetric unit holds La at (0.0000, 0.0000, 0.0000), Tb at (0.0000, 0.5000, 0.5000), Tb at (0.1667, 0.5000, 0.9994), Tb at (0.1677, 0.0000, 0.5033), Sm at (0.0000, 0.1680, 0.5000), Sm at (0.0000, 0.3355, 0.0000), Sm at (0.1666, 0.3340, 0.4985) and Sm at (0.1678, 0.1669, 0.0011).

---

# 4
First-principles (PBE-GGA) data for crystalline LiTb4Zn at its relaxed geometry, as listed in Alexandria.

The density of states at the Fermi level is 1.58 states/eV per atom. The formation energy comes out at 0.26 eV/atom. As for the crystal system: tetragonal. The raw total energy comes out at -3.3623 eV per atom.

The space group is P4/mmm (No. 123) and the conventional cell measures 4.9436, 4.9436 and 7.3636 Å, with angles of 90.00, 90.00 and 90.00 degrees. The asymmetric unit holds Li at (0.0000, 0.0000, 0.0000), Tb at (0.0000, 0.5000, 0.2658) and Zn at (0.5000, 0.5000, 0.5000).